[1]
The following is a PBE calculation of a relaxed K2SCl5 crystal, from Alexandria via LeMat-Bulk.

The value obtained for the uncorrected formation energy is -962 meV per atom. The total energy comes out at -2.91 eV per atom.

Lattice parameters (Å, degrees): 7.1949 7.1949 6.9311 121.27 121.27 90.00
Closest atoms and distances in Å follow each position.
Sites, in units of the cell vectors:
K: 0.2521 0.7521 0.5041  10 Cl 3.42-3.61
K: 0.7521 0.2521 0.5041  10 Cl 3.42-3.61
S: 0.0050 0.0050 0.0100  4 Cl 2.33
Cl: 0.7814 0.2389 0.0203  1 S 2.33
Cl: 0.2389 0.2389 0.0203  1 S 2.33
Cl: 0.7814 0.7814 0.0203  1 S 2.33
Cl: 0.2389 0.7814 0.0203  1 S 2.33
Cl: 0.7273 0.7273 0.4546  1 S 2.61

=====

[2]
The following is a PBE calculation of a relaxed UPaMnCo crystal, from Alexandria via LeMat-Bulk.

The total energy comes out at -9.33 eV per atom. The formation energy comes out at -0.07 eV per atom.

Lattice parameters (Å, degrees): 4.5340 4.5340 4.5340 60.00 60.00 60.00
Closest atoms and distances in Å follow each position.
Sites, in units of the cell vectors:
Co: 0.5000 0.5000 0.5000  4 Mn 2.78, 4 U 2.78
Pa: 0.0000 0.0000 0.0000  4 U 2.78, 4 Mn 2.78
U: 0.7500 0.7500 0.7500  4 Pa 2.78, 4 Co 2.78
Mn: 0.2500 0.2500 0.2500  4 Pa 2.78, 4 Co 2.78

=====

[3]
The following is a PBE calculation of a relaxed VSnPt crystal, from Alexandria via LeMat-Bulk.

The total energy comes out at -6.65 eV per atom. The formation energy comes out at -0.26 eV per atom.

Lattice parameters (Å, degrees): 3.1371 3.1371 12.0346 97.49 97.49 90.00
Closest atoms and distances in Å follow each position.
Sites, in units of the cell vectors:
V: 0.2806 0.2806 0.5612  5 Pt 2.62-2.85, 4 V 2.65
V: 0.7194 0.7194 0.4388  5 Pt 2.62-2.85, 4 V 2.65
Pt: 0.1602 0.1602 0.3205  5 V 2.62-2.85
Pt: 0.8398 0.8398 0.6795  5 V 2.62-2.85
Sn: 0.5743 0.5743 0.1485  4 Pt 3.01, 4 Sn 3.14
Sn: 0.4257 0.4257 0.8515  4 Pt 3.01, 4 Sn 3.14

=====

[4]
The following is a PBE calculation of a relaxed LaLuO2 crystal, from Alexandria via LeMat-Bulk.

The value obtained for the uncorrected formation energy is -2946 meV per atom. The total energy comes out at -7.79 eV per atom.

Lattice parameters (Å, degrees): 3.4102 3.4102 6.2988 74.29 74.29 60.00
Closest atoms and distances in Å follow each position.
Sites, in units of the cell vectors:
Lu: 0.0000 0.0000 0.0000  6 O 2.27
O: 0.7294 0.7294 0.8117  3 Lu 2.27
O: 0.2706 0.2706 0.1883  3 Lu 2.27
La: 0.5000 0.5000 0.5000  6 O 2.71